1.
Compound: Be3Cd
Source: the Alexandria database
Functional: PBE
Structure: relaxed

Results
**N(E_F)**: 1.05 states/eV per cell
**Magnetic moment**: 0.0 μB per formula unit

a b c (Å): 3.590 3.590 3.590
angles (deg): 90.00 90.00 90.00
Atoms (fractional coordinates):
Be 0.000 0.000 0.500
Be 0.000 0.500 0.000
Be 0.500 0.000 0.000
Cd 0.500 0.500 0.500

=====

2.
Compound: Be3Cd
Source: the Alexandria database
Functional: PBE
Structure: relaxed

Results
**N(E_F)**: 0.86 states/eV per cell
**Magnetic moment**: 0.0 μB per formula unit

a b c (Å): 7.430 2.562 5.636
angles (deg): 90.00 106.16 90.00
Atoms (fractional coordinates):
Be 0.000 0.000 0.000
Be 0.249 0.000 0.851
Be 0.251 0.500 0.149
Be 0.500 0.500 0.000
Be 0.749 0.500 0.851
Be 0.751 0.000 0.149
Cd 0.000 0.500 0.500
Cd 0.500 0.000 0.500

=====

3.
Compound: Be3Cd
Source: the Alexandria database
Functional: PBE
Structure: relaxed

Results
**N(E_F)**: 5.78 states/eV per cell
**Magnetic moment**: 0.0 μB per formula unit

a b c (Å): 5.695 5.695 5.695
angles (deg): 90.00 90.00 90.00
Atoms (fractional coordinates):
Be 0.000 0.000 0.000
Be 0.000 0.500 0.500
Be 0.250 0.250 0.250
Be 0.250 0.250 0.750
Be 0.250 0.750 0.250
Be 0.250 0.750 0.750
Be 0.500 0.000 0.500
Be 0.500 0.500 0.000
Be 0.750 0.250 0.250
Be 0.750 0.250 0.750
Be 0.750 0.750 0.250
Be 0.750 0.750 0.750
Cd 0.000 0.000 0.500
Cd 0.000 0.500 0.000
Cd 0.500 0.000 0.000
Cd 0.500 0.500 0.500

=====

It comes down to 2, which is 76 meV per atom more stable than the next structure.

=====

1.
Compound: Be3Cd
Source: the Alexandria database
Functional: PBE
Structure: relaxed

Results
**N(E_F)**: 1.76 states/eV per cell
**Magnetic moment**: 0.0 μB per formula unit

a b c (Å): 3.582 3.582 14.470
angles (deg): 90.00 90.00 90.00
Atoms (fractional coordinates):
Be 0.000 0.000 0.106
Be 0.000 0.000 0.894
Be 0.000 0.500 0.000
Be 0.000 0.500 0.250
Be 0.000 0.500 0.500
Be 0.000 0.500 0.750
Be 0.500 0.000 0.000
Be 0.500 0.000 0.250
Be 0.500 0.000 0.500
Be 0.500 0.000 0.750
Be 0.500 0.500 0.394
Be 0.500 0.500 0.606
Cd 0.000 0.000 0.372
Cd 0.000 0.000 0.628
Cd 0.500 0.500 0.128
Cd 0.500 0.500 0.872

=====

2.
Compound: Be3Cd
Source: the Alexandria database
Functional: PBE
Structure: relaxed

Results
**N(E_F)**: 0.26 states/eV per cell
**Magnetic moment**: 0.0 μB per formula unit

a b c (Å): 2.668 3.743 4.754
angles (deg): 90.00 90.00 90.00
Atoms (fractional coordinates):
Be 0.000 0.000 0.000
Be 0.000 0.500 0.266
Be 0.500 0.000 0.361
Cd 0.500 0.500 0.753

=====

It comes down to 2, which is 92 meV per atom more stable than the next structure.

=====

1.
Compound: Be3Cd5
Source: the Alexandria database
Functional: PBE
Structure: relaxed

Results
**N(E_F)**: 4.53 states/eV per cell
**Magnetic moment**: 0.0 μB per formula unit

a b c (Å): 8.014 8.553 4.053
angles (deg): 90.00 90.00 90.00
Atoms (fractional coordinates):
Be 0.000 0.000 0.000
Be 0.000 0.248 0.500
Be 0.000 0.752 0.500
Be 0.500 0.252 0.500
Be 0.500 0.500 0.000
Be 0.500 0.748 0.500
Cd 0.000 0.500 0.000
Cd 0.209 0.000 0.500
Cd 0.250 0.250 0.000
Cd 0.250 0.750 0.000
Cd 0.291 0.500 0.500
Cd 0.500 0.000 0.000
Cd 0.709 0.500 0.500
Cd 0.750 0.250 0.000
Cd 0.750 0.750 0.000
Cd 0.791 0.000 0.500

=====

2.
Compound: Be3Cd5
Source: the Alexandria database
Functional: PBE
Structure: relaxed

Results
**N(E_F)**: 3.22 states/eV per cell
**Magnetic moment**: 0.0 μB per formula unit

a b c (Å): 5.894 7.365 7.468
angles (deg): 82.02 68.75 66.93
Atoms (fractional coordinates):
Be 0.000 0.000 0.000
Be 0.003 0.518 0.163
Be 0.128 0.657 0.659
Be 0.338 0.994 0.346
Be 0.456 0.365 0.674
Be 0.577 0.528 0.176
Cd 0.073 0.793 0.310
Cd 0.200 0.373 0.445
Cd 0.373 0.642 0.898
Cd 0.410 0.014 0.678
Cd 0.467 0.229 0.048
Cd 0.612 0.650 0.469
Cd 0.705 0.808 0.004
Cd 0.848 0.218 0.306
Cd 0.888 0.050 0.674
Cd 0.970 0.368 0.877

=====

3.
Compound: Be3Cd5
Source: the Alexandria database
Functional: PBE
Structure: relaxed

Results
**N(E_F)**: 6.45 states/eV per cell
**Magnetic moment**: 0.0 μB per formula unit

a b c (Å): 7.395 7.395 5.819
angles (deg): 90.00 90.00 120.00
Atoms (fractional coordinates):
Be 0.000 0.402 0.250
Be 0.000 0.598 0.750
Be 0.402 0.000 0.250
Be 0.402 0.402 0.750
Be 0.598 0.000 0.750
Be 0.598 0.598 0.250
Cd 0.000 0.237 0.750
Cd 0.000 0.763 0.250
Cd 0.237 0.000 0.750
Cd 0.237 0.237 0.250
Cd 0.333 0.667 0.000
Cd 0.333 0.667 0.500
Cd 0.667 0.333 0.000
Cd 0.667 0.333 0.500
Cd 0.763 0.000 0.250
Cd 0.763 0.763 0.750

=====

It comes down to 2, which is 31 meV per atom more stable than the next structure.

=====

1.
Compound: BeCd5
Source: the Alexandria database
Functional: PBE
Structure: relaxed

Results
**N(E_F)**: 4.27 states/eV per cell
**Magnetic moment**: 0.0 μB per formula unit

a b c (Å): 4.314 13.043 4.285
angles (deg): 90.00 90.00 90.00
Atoms (fractional coordinates):
Be 0.000 0.000 0.000
Be 0.500 0.500 0.000
Cd 0.000 0.158 0.500
Cd 0.000 0.341 0.000
Cd 0.000 0.500 0.500
Cd 0.000 0.659 0.000
Cd 0.000 0.842 0.500
Cd 0.500 0.000 0.500
Cd 0.500 0.159 0.000
Cd 0.500 0.342 0.500
Cd 0.500 0.658 0.500
Cd 0.500 0.841 0.000

=====

2.
Compound: BeCd5
Source: the Alexandria database
Functional: PBE
Structure: relaxed

Results
**N(E_F)**: 1.61 states/eV per cell
**Magnetic moment**: 0.0 μB per formula unit

a b c (Å): 5.215 5.215 5.046
angles (deg): 90.00 90.00 120.00
Atoms (fractional coordinates):
Be 0.000 0.000 0.000
Cd 0.000 0.678 0.500
Cd 0.322 0.322 0.500
Cd 0.333 0.667 0.000
Cd 0.667 0.333 0.000
Cd 0.678 0.000 0.500

=====

3.
Compound: BeCd5
Source: the Alexandria database
Functional: PBE
Structure: relaxed

Results
**N(E_F)**: 0.95 states/eV per cell
**Magnetic moment**: 0.0 μB per formula unit

a b c (Å): 3.058 3.058 12.911
angles (deg): 90.00 90.00 90.00
Atoms (fractional coordinates):
Be 0.000 0.000 0.000
Cd 0.000 0.000 0.313
Cd 0.000 0.000 0.687
Cd 0.500 0.500 0.125
Cd 0.500 0.500 0.500
Cd 0.500 0.500 0.875

=====

4.
Compound: BeCd5
Source: the Alexandria database
Functional: PBE
Structure: relaxed

Results
**N(E_F)**: 2.04 states/eV per cell
**Magnetic moment**: 0.0 μB per formula unit

a b c (Å): 5.708 5.708 5.708
angles (deg): 60.00 60.00 60.00
Atoms (fractional coordinates):
Be 0.000 0.000 0.000
Cd 0.375 0.375 0.375
Cd 0.375 0.375 0.876
Cd 0.375 0.876 0.375
Cd 0.750 0.750 0.750
Cd 0.876 0.375 0.375

=====

It comes down to 3, which is 63 meV per atom more stable than the next structure.

=====

1.
Compound: BeCd5
Source: the Alexandria database
Functional: PBE
Structure: relaxed

Results
**N(E_F)**: 3.29 states/eV per cell
**Magnetic moment**: 0.0 μB per formula unit

a b c (Å): 4.864 3.198 15.456
angles (deg): 90.00 90.00 90.00
Atoms (fractional coordinates):
Be 0.000 0.000 0.000
Be 0.000 0.500 0.500
Cd 0.000 0.000 0.350
Cd 0.000 0.000 0.655
Cd 0.000 0.500 0.155
Cd 0.000 0.500 0.850
Cd 0.500 0.000 0.227
Cd 0.500 0.000 0.553
Cd 0.500 0.000 0.898
Cd 0.500 0.500 0.053
Cd 0.500 0.500 0.398
Cd 0.500 0.500 0.727

=====

2.
Compound: BeCd5
Source: the Alexandria database
Functional: PBE
Structure: relaxed

Results
**N(E_F)**: 2.23 states/eV per cell
**Magnetic moment**: 0.0 μB per formula unit

a b c (Å): 5.502 5.502 5.401
angles (deg): 90.00 90.00 120.00
Atoms (fractional coordinates):
Be 0.000 0.000 0.000
Cd 0.000 0.500 0.500
Cd 0.333 0.667 0.000
Cd 0.500 0.000 0.500
Cd 0.500 0.500 0.500
Cd 0.667 0.333 0.000

=====

3.
Compound: BeCd5
Source: the Alexandria database
Functional: PBE
Structure: relaxed

Results
**N(E_F)**: 2.18 states/eV per cell
**Magnetic moment**: 0.0 μB per formula unit

a b c (Å): 13.758 2.886 8.406
angles (deg): 90.00 127.56 90.00
Atoms (fractional coordinates):
Be 0.000 0.000 0.000
Be 0.500 0.500 0.000
Cd 0.000 0.000 0.500
Cd 0.132 0.500 0.349
Cd 0.154 0.500 0.992
Cd 0.346 0.000 0.008
Cd 0.368 0.000 0.651
Cd 0.500 0.500 0.500
Cd 0.632 0.000 0.349
Cd 0.654 0.000 0.992
Cd 0.846 0.500 0.008
Cd 0.868 0.500 0.651

=====

It comes down to 3, which is 96 meV per atom more stable than the next structure.

=====

1.
Compound: BeCd3
Source: the Alexandria database
Functional: PBE
Structure: relaxed

Results
**N(E_F)**: 1.31 states/eV per cell
**Magnetic moment**: 0.0 μB per formula unit

a b c (Å): 4.762 4.762 4.762
angles (deg): 90.00 90.00 90.00
Atoms (fractional coordinates):
Be 0.000 0.000 0.000
Cd 0.000 0.000 0.500
Cd 0.000 0.500 0.000
Cd 0.500 0.000 0.000

=====

2.
Compound: BeCd3
Source: the Alexandria database
Functional: PBE
Structure: relaxed

Results
**N(E_F)**: 2.19 states/eV per cell
**Magnetic moment**: 0.0 μB per formula unit

a b c (Å): 10.196 2.918 5.721
angles (deg): 90.00 114.52 90.00
Atoms (fractional coordinates):
Be 0.000 0.000 0.000
Be 0.500 0.500 0.000
Cd 0.000 0.500 0.500
Cd 0.221 0.500 0.221
Cd 0.279 0.000 0.779
Cd 0.500 0.000 0.500
Cd 0.721 0.000 0.221
Cd 0.779 0.500 0.779

=====

It comes down to 2, which is 19 meV per atom more stable than the next structure.

=====

1.
Compound: BeCd3
Source: the Alexandria database
Functional: PBE
Structure: relaxed

Results
**N(E_F)**: 1.14 states/eV per cell
**Magnetic moment**: 0.0 μB per formula unit

a b c (Å): 5.482 5.741 4.887
angles (deg): 90.00 90.00 90.00
Atoms (fractional coordinates):
Be 0.250 0.250 0.170
Be 0.750 0.750 0.830
Cd 0.250 0.008 0.666
Cd 0.250 0.492 0.666
Cd 0.250 0.750 0.159
Cd 0.750 0.250 0.841
Cd 0.750 0.508 0.334
Cd 0.750 0.992 0.334

=====

2.
Compound: BeCd3
Source: the Alexandria database
Functional: PBE
Structure: relaxed

Results
**N(E_F)**: 3.11 states/eV per cell
**Magnetic moment**: 0.0 μB per formula unit

a b c (Å): 9.153 9.153 3.247
angles (deg): 90.00 90.00 120.00
Atoms (fractional coordinates):
Be 0.000 0.000 0.000
Be 0.333 0.667 0.667
Be 0.667 0.333 0.333
Cd 0.000 0.500 0.000
Cd 0.167 0.333 0.333
Cd 0.167 0.833 0.333
Cd 0.333 0.167 0.667
Cd 0.500 0.000 0.000
Cd 0.500 0.500 0.000
Cd 0.667 0.833 0.333
Cd 0.833 0.167 0.667
Cd 0.833 0.667 0.667

=====

It comes down to 1, which is 102 meV per atom more stable than the next structure.

=====

1.
Compound: BeCd3
Source: the Alexandria database
Functional: PBE
Structure: relaxed

Results
**N(E_F)**: 1.09 states/eV per cell
**Magnetic moment**: 0.0 μB per formula unit

a b c (Å): 3.075 4.878 5.045
angles (deg): 90.00 90.00 90.00
Atoms (fractional coordinates):
Be 0.000 0.000 0.000
Cd 0.000 0.500 0.309
Cd 0.500 0.000 0.497
Cd 0.500 0.500 0.829

=====

2.
Compound: BeCd3
Source: the Alexandria database
Functional: PBE
Structure: relaxed

Results
**N(E_F)**: 0.87 states/eV per cell
**Magnetic moment**: 0.0 μB per formula unit

a b c (Å): 3.301 4.415 5.409
angles (deg): 90.00 100.33 90.00
Atoms (fractional coordinates):
Be 0.000 0.000 0.000
Cd 0.000 0.000 0.500
Cd 0.333 0.500 0.228
Cd 0.667 0.500 0.772

=====

3.
Compound: BeCd3
Source: the Alexandria database
Functional: PBE
Structure: relaxed

Results
**N(E_F)**: 7.60 states/eV per cell
**Magnetic moment**: 0.0 μB per formula unit

a b c (Å): 6.736 6.736 6.736
angles (deg): 90.00 90.00 90.00
Atoms (fractional coordinates):
Be 0.000 0.000 0.000
Be 0.000 0.500 0.500
Be 0.500 0.000 0.500
Be 0.500 0.500 0.000
Cd 0.000 0.000 0.500
Cd 0.000 0.500 0.000
Cd 0.250 0.250 0.250
Cd 0.250 0.250 0.750
Cd 0.250 0.750 0.250
Cd 0.250 0.750 0.750
Cd 0.500 0.000 0.000
Cd 0.500 0.500 0.500
Cd 0.750 0.250 0.250
Cd 0.750 0.250 0.750
Cd 0.750 0.750 0.250
Cd 0.750 0.750 0.750

=====

It comes down to 2, which is 40 meV per atom more stable than the next structure.

=====

1.
Compound: BeCd3
Source: the Alexandria database
Functional: PBE
Structure: relaxed

Results
**N(E_F)**: 5.25 states/eV per cell
**Magnetic moment**: 0.0 μB per formula unit

a b c (Å): 7.408 10.851 3.964
angles (deg): 90.00 90.00 90.00
Atoms (fractional coordinates):
Be 0.000 0.039 0.250
Be 0.000 0.961 0.750
Be 0.500 0.461 0.750
Be 0.500 0.539 0.250
Cd 0.000 0.399 0.750
Cd 0.000 0.601 0.250
Cd 0.204 0.148 0.750
Cd 0.204 0.852 0.250
Cd 0.296 0.352 0.250
Cd 0.296 0.648 0.750
Cd 0.500 0.101 0.250
Cd 0.500 0.899 0.750
Cd 0.704 0.352 0.250
Cd 0.704 0.648 0.750
Cd 0.796 0.148 0.750
Cd 0.796 0.852 0.250

=====

2.
Compound: BeCd3
Source: the Alexandria database
Functional: PBE
Structure: relaxed

Results
**N(E_F)**: 1.34 states/eV per cell
**Magnetic moment**: 0.0 μB per formula unit

a b c (Å): 5.653 7.701 3.569
angles (deg): 90.00 90.00 90.00
Atoms (fractional coordinates):
Be 0.000 0.000 0.000
Be 0.500 0.500 0.000
Cd 0.000 0.500 0.000
Cd 0.250 0.250 0.500
Cd 0.250 0.750 0.500
Cd 0.500 0.000 0.000
Cd 0.750 0.250 0.500
Cd 0.750 0.750 0.500

=====

3.
Compound: BeCd3
Source: the Alexandria database
Functional: PBE
Structure: relaxed

Results
**N(E_F)**: 2.72 states/eV per cell
**Magnetic moment**: 0.0 μB per formula unit

a b c (Å): 7.437 7.835 5.166
angles (deg): 90.00 90.00 90.00
Atoms (fractional coordinates):
Be 0.138 0.250 0.069
Be 0.362 0.750 0.569
Be 0.638 0.250 0.431
Be 0.862 0.750 0.931
Cd 0.016 0.750 0.408
Cd 0.174 0.559 0.892
Cd 0.174 0.941 0.892
Cd 0.326 0.059 0.392
Cd 0.326 0.441 0.392
Cd 0.484 0.250 0.908
Cd 0.516 0.750 0.092
Cd 0.674 0.559 0.608
Cd 0.674 0.941 0.608
Cd 0.826 0.059 0.108
Cd 0.826 0.441 0.108
Cd 0.984 0.250 0.592

=====

4.
Compound: BeCd3
Source: the Alexandria database
Functional: PBE
Structure: relaxed

Results
**N(E_F)**: 2.30 states/eV per cell
**Magnetic moment**: 0.0 μB per formula unit

a b c (Å): 3.120 3.120 27.264
angles (deg): 90.00 90.00 120.00
Atoms (fractional coordinates):
Be 0.000 0.000 0.000
Be 0.333 0.667 0.667
Be 0.667 0.333 0.333
Cd 0.000 0.000 0.264
Cd 0.000 0.000 0.500
Cd 0.000 0.000 0.736
Cd 0.333 0.667 0.167
Cd 0.333 0.667 0.403
Cd 0.333 0.667 0.931
Cd 0.667 0.333 0.069
Cd 0.667 0.333 0.597
Cd 0.667 0.333 0.833

=====

It comes down to 3, which is 49 meV per atom more stable than the next structure.